Entry from Alexandria: a geometry-optimized RbNa2Tl structure (PBE).

Calculated values
crystal system: cubic
total magnetization: 0.0 μB per formula unit
mass density: 3.59 Mg/m³

```
data_RbNa2Tl
_symmetry_space_group_name_H-M 'F m -3 m'
_symmetry_Int_Tables_number 225
_symmetry_space_group_name_Hall '-F 4 2 3'
_cell_length_a 8.530
_cell_length_b 8.530
_cell_length_c 8.530
_cell_angle_alpha 90.00
_cell_angle_beta 90.00
_cell_angle_gamma 90.00
loop_
_atom_site_label
_atom_site_type_symbol
_atom_site_fract_x
_atom_site_fract_y
_atom_site_fract_z
_atom_site_occupancy
Rb1 Rb 0.000 0.000 0.000 1
Na1 Na 0.250 0.250 0.250 1
Tl1 Tl 0.000 0.000 0.500 1
```

Entry from Alexandria: a geometry-optimized RbNa2Tl2 structure (PBE).

Calculated values
crystal system: tetragonal
total magnetization: 0.0 μB per formula unit
mass density: 4.57 Mg/m³

```
data_RbNa2Tl2
_symmetry_space_group_name_H-M 'I 4/m m m'
_symmetry_Int_Tables_number 139
_symmetry_space_group_name_Hall '-I 4 2'
_cell_length_a 5.270
_cell_length_b 5.270
_cell_length_c 14.135
_cell_angle_alpha 90.00
_cell_angle_beta 90.00
_cell_angle_gamma 90.00
loop_
_atom_site_label
_atom_site_type_symbol
_atom_site_fract_x
_atom_site_fract_y
_atom_site_fract_z
_atom_site_occupancy
Rb1 Rb 0.000 0.000 0.000 1
Na1 Na 0.000 0.500 0.250 1
Tl1 Tl 0.000 0.000 0.392 1
```

Entry from Alexandria: a geometry-optimized RbNa7Tl3 structure (PBE).

Calculated values
crystal system: monoclinic
total magnetization: 0.0 μB per formula unit
mass density: 3.60 Mg/m³

```
data_RbNa7Tl3
_symmetry_space_group_name_H-M 'C 1 2/m 1'
_symmetry_Int_Tables_number 12
_cell_length_a 12.304
_cell_length_b 11.972
_cell_length_c 6.166
_cell_angle_alpha 90.00
_cell_angle_beta 119.32
_cell_angle_gamma 90.00
loop_
_symmetry_equiv_pos_as_xyz
'x,y,z'
'-x,-y,-z'
'-x,y,-z'
'x,-y,z'
'x+1/2,y+1/2,z'
'-x+1/2,-y+1/2,-z'
'-x+1/2,y+1/2,-z'
'x+1/2,-y+1/2,z'
loop_
_atom_site_label
_atom_site_type_symbol
_atom_site_fract_x
_atom_site_fract_y
_atom_site_fract_z
_atom_site_occupancy
Rb1 Rb 0.000 0.000 0.000 1
Na1 Na 0.000 0.000 0.500 1
Na2 Na 0.152 0.500 0.650 1
Na3 Na 0.195 0.303 0.196 1
Tl1 Tl 0.000 0.265 0.500 1
Tl2 Tl 0.000 0.500 0.000 1
```

Entry from Alexandria: a geometry-optimized Rb2Na2Tl structure (PBE).

Calculated values
crystal system: tetragonal
total magnetization: 0.0 μB per formula unit
mass density: 2.67 Mg/m³

```
data_Rb2Na2Tl
_symmetry_space_group_name_H-M 'P 4/m b m'
_symmetry_Int_Tables_number 127
_symmetry_space_group_name_Hall '-P 4 2ab'
_cell_length_a 11.107
_cell_length_b 11.107
_cell_length_c 4.253
_cell_angle_alpha 90.00
_cell_angle_beta 90.00
_cell_angle_gamma 90.00
loop_
_atom_site_label
_atom_site_type_symbol
_atom_site_fract_x
_atom_site_fract_y
_atom_site_fract_z
_atom_site_occupancy
Rb1 Rb 0.184 0.316 0.000 1
Na1 Na 0.114 0.614 0.500 1
Tl1 Tl 0.000 0.000 0.000 1
```

Entry from Alexandria: a geometry-optimized Rb2Na5Tl12 structure (PBE).

Calculated values
crystal system: trigonal
total magnetization: 0.0 μB per formula unit
mass density: 7.36 Mg/m³

```
data_Rb2Na5Tl12
_symmetry_space_group_name_H-M 'R -3 m'
_symmetry_Int_Tables_number 166
_symmetry_space_group_name_Hall '-R 3 2"'
_cell_length_a 11.3704
_cell_length_b 11.3704
_cell_length_c 16.5579
_cell_angle_alpha 90.00
_cell_angle_beta 90.00
_cell_angle_gamma 120.00
loop_
_atom_site_label
_atom_site_type_symbol
_atom_site_fract_x
_atom_site_fract_y
_atom_site_fract_z
_atom_site_occupancy
Rb1 Rb 0.0000 0.0000 0.1507 1
Na1 Na 0.0000 0.0000 0.4017 1
Na2 Na 0.0000 0.5000 0.0000 1
Tl1 Tl 0.0000 0.2931 0.5000 1
Tl2 Tl 0.0027 0.5013 0.6478 1
```

Entry from Alexandria: a geometry-optimized RbNa5Tl4 structure (PBE).

Calculated values
crystal system: tetragonal
total magnetization: 0.0 μB per formula unit
mass density: 5.02 Mg/m³

```
data_RbNa5Tl4
_symmetry_space_group_name_H-M 'P 4/m m m'
_symmetry_Int_Tables_number 123
_symmetry_space_group_name_Hall '-P 4 2'
_cell_length_a 4.062
_cell_length_b 4.062
_cell_length_c 20.407
_cell_angle_alpha 90.00
_cell_angle_beta 90.00
_cell_angle_gamma 90.00
loop_
_atom_site_label
_atom_site_type_symbol
_atom_site_fract_x
_atom_site_fract_y
_atom_site_fract_z
_atom_site_occupancy
Rb1 Rb 0.000 0.000 0.000 1
Na1 Na 0.500 0.500 0.154 1
Na2 Na 0.500 0.500 0.325 1
Na3 Na 0.500 0.500 0.500 1
Tl1 Tl 0.000 0.000 0.237 1
Tl2 Tl 0.000 0.000 0.412 1
```

Number 1: energy relative to the elements 0.010 eV per atom. Number 2: energy relative to the elements -0.018 eV per atom. Number 3: energy relative to the elements 0.010 eV per atom. Number 4: energy relative to the elements 0.168 eV per atom. Number 5: energy relative to the elements -0.076 eV per atom. Number 6: energy relative to the elements -0.059 eV per atom.